The following is a PBE+U calculation of a geometry-optimized RePd2WO structure, from Alexandria via LeMat-Bulk.

The density of states at the Fermi level comes out at 5.134 states/eV/f.u. The value obtained for the energy is -25.27 eV/cell.

The structure belongs to space group P4/mmm (No. 123); the cell edges are 4.780, 4.780 and 5.059 Å and the angles 90.00°, 90.00° and 90.00°. The distinct sites, in fractional coordinates, are Re at (0.000, 0.000, 0.000), Pd at (0.000, 0.500, 0.000), W at (0.000, 0.000, 0.500) and O at (0.500, 0.500, 0.500).